{
  "formula": "CaMg2Br",
  "functional": "GGA-PBE",
  "state": "optimized geometry",
  "lattice": [[-2.677, 2.192, -0.948], [0.055, -2.942, -2.053], [-5.755, -4.380, 6.122]],
  "species": ["Br", "Ca", "Mg", "Mg"],
  "fractional_positions": [[0.500, 0.500, 0.250], [0.500, 0.500, 0.750], [0.000, 0.000, 0.024], [0.000, 0.000, 0.476]],
  "relative_energy_mev_per_atom": 202.3,
  "vol_a3_per_cell": 113.7,
  "formation_energy_uncorrected_ev_per_atom": -0.353,
  "dft_energy_ev_per_atom": -2.07,
  "spacegroup": "Cmmm"
}